(1)
An optimized crystal structure of NiAs2Os. Source: the Alexandria database, functional GGA-PBEsol.

Calculated values
Space-group type ... C2/m, No. 12
Theoretical density ... 11.3 g cm⁻³
Magnetization ... 0.00 Bohr magnetons per cell
Energy of formation ... 499 meV per atom
Volume ... 14.612 A^3/atom
Offset from the most stable computed form ... 0.927 eV per formula unit

a b c (Å): 4.8975 4.8975 3.0271
angles (deg): 106.90 106.90 110.57
Sites, in units of the cell vectors:
1 Ni 0.0000 0.0000 0.0000
2 As 0.0000 0.5000 0.5000
3 As 0.5000 0.0000 0.5000
4 Os 0.5000 0.5000 0.0000

---

(2)
An optimized crystal structure of NiAsOs2. Source: the Alexandria database, functional GGA-PBEsol.

Calculated values
Space-group type ... Immm, No. 71
Theoretical density ... 15.3 g cm⁻³
Magnetization ... 0.00 Bohr magnetons per cell
Energy of formation ... 337 meV per atom
Volume ... 13.977 A^3/atom

a b c (Å): 5.5424 5.5424 5.5424
angles (deg): 150.41 138.06 52.17
Sites, in units of the cell vectors:
1 Ni 0.0000 0.0000 0.0000
2 As 0.5000 0.5000 0.0000
3 Os 0.2987 0.7987 0.5000
4 Os 0.7013 0.2013 0.5000

---

(3)
An optimized crystal structure of NiAs2Os. Source: the Alexandria database, functional GGA-PBEsol.

Calculated values
Space-group type ... F-43m, No. 216
Theoretical density ... 11.6 g cm⁻³
Magnetization ... 0.00 Bohr magnetons per cell
Energy of formation ... 613 meV per atom
Volume ... 14.327 A^3/atom
Offset from the most stable computed form ... 1.382 eV per formula unit

a b c (Å): 4.3276 4.3276 4.3276
angles (deg): 60.00 60.00 60.00
Sites, in units of the cell vectors:
1 Ni 0.0000 0.0000 0.0000
2 As 0.5000 0.5000 0.5000
3 As 0.7500 0.7500 0.7500
4 Os 0.2500 0.2500 0.2500

---

(4)
An optimized crystal structure of NiAsOs2. Source: the Alexandria database, functional GGA-PBEsol.

Calculated values
Space-group type ... Amm2, No. 38
Theoretical density ... 15.7 g cm⁻³
Magnetization ... 0.00 Bohr magnetons per cell
Energy of formation ... 208 meV per atom
Volume ... 13.635 A^3/atom

a b c (Å): 3.7876 5.3513 5.3513
angles (deg): 30.19 90.00 90.00
Sites, in units of the cell vectors:
1 Ni 0.0000 0.0000 0.0000
2 As 0.5000 0.4096 0.4096
3 Os 0.0000 0.2539 0.2539
4 Os 0.5000 0.6405 0.6405

---

The highest volume belongs to which entry? number 1

---

Which formula does entry 4 have? NiAsOs2

---

Among the records above, which one has the highest volume? number 1